Compound: Ba2ZnIn
Source: the Alexandria database
Functional: GGA-PBEsol
Structure: relaxed

Structure (POSCAR):
```
Ba2ZnIn
1.0
0.000 4.107 4.107
4.107 0.000 4.107
4.107 4.107 0.000
Ba Zn In
2 1 1
Direct
0.250 0.250 0.250
0.750 0.750 0.750
0.000 0.000 0.000
0.500 0.500 0.500
```

Summary:
- Formation enthalpy at 0 K: -0.26 eV/atom
- Spin magnetization: 0.0 μB/cell
- E_tot: -9.92 eV/cell

Compound: BaZn2In
Source: the Alexandria database
Functional: GGA-PBEsol
Structure: relaxed

Structure (POSCAR):
```
BaZn2In
1.0
3.910 0.000 0.000
0.000 4.271 0.000
-1.949 0.000 6.231
Ba Zn In
1 2 1
Direct
0.000 0.000 0.000
0.267 0.000 0.532
0.364 0.500 0.728
0.696 0.500 0.389
```

Summary:
- Formation enthalpy at 0 K: -0.15 eV/atom
- Spin magnetization: 0.0 μB/cell
- E_tot: -8.88 eV/cell

Compound: BaZnIn2
Source: the Alexandria database
Functional: GGA-PBEsol
Structure: relaxed

Structure (POSCAR):
```
BaZnIn2
1.0
4.721 0.000 0.000
0.000 4.721 0.000
0.000 0.000 5.004
Ba Zn In
1 1 2
Direct
0.000 0.000 0.000
0.500 0.500 0.000
0.000 0.500 0.500
0.500 0.000 0.500
```

Summary:
- Formation enthalpy at 0 K: -0.11 eV/atom
- Spin magnetization: 0.0 μB/cell
- E_tot: -10.13 eV/cell

Compound: BaZnIn2
Source: the Alexandria database
Functional: GGA-PBEsol
Structure: relaxed

Structure (POSCAR):
```
BaZnIn2
1.0
3.193 -5.623 0.000
3.193 5.623 0.000
-1.125 0.000 3.101
Ba Zn In
1 1 2
Direct
0.000 0.000 0.000
0.500 0.500 0.000
0.000 0.500 0.500
0.500 0.000 0.500
```

Summary:
- Formation enthalpy at 0 K: 0.03 eV/atom
- Spin magnetization: 0.0 μB/cell
- E_tot: -9.57 eV/cell

Compound: BaZn2In
Source: the Alexandria database
Functional: GGA-PBEsol
Structure: relaxed

Structure (POSCAR):
```
BaZn2In
1.0
2.216 1.280 6.207
-2.216 1.280 6.207
0.000 -2.559 6.207
Ba Zn In
1 2 1
Direct
0.000 0.000 0.000
0.467 0.467 0.467
0.801 0.801 0.801
0.203 0.203 0.203
```

Summary:
- Formation enthalpy at 0 K: -0.22 eV/atom
- Spin magnetization: 0.0 μB/cell
- E_tot: -9.16 eV/cell

Compound: BaZnIn
Source: the Alexandria database
Functional: GGA-PBEsol
Structure: relaxed

Structure (POSCAR):
```
BaZnIn
1.0
0.000 3.687 3.687
3.687 0.000 3.687
3.687 3.687 0.000
Ba Zn In
1 1 1
Direct
0.000 0.000 0.000
0.500 0.500 0.500
0.750 0.750 0.750
```

Summary:
- Formation enthalpy at 0 K: 0.05 eV/atom
- Spin magnetization: 0.8 μB/cell
- E_tot: -6.57 eV/cell

Compound: Ba2Ir3
Source: the Alexandria database
Functional: GGA-PBEsol
Structure: relaxed

Structure (POSCAR):
```
Ba2Ir3
1.0
2.088 1.205 9.093
-2.088 1.205 9.093
0.000 -2.411 9.093
Ba Ir
2 3
Direct
0.094 0.094 0.094
0.906 0.906 0.906
0.333 0.333 0.333
0.500 0.500 0.500
0.667 0.667 0.667
```

Summary:
- Formation enthalpy at 0 K: 0.38 eV/atom
- Spin magnetization: 0.7 μB/cell
- E_tot: -31.86 eV/cell

Compound: BaIr
Source: the Alexandria database
Functional: GGA-PBEsol
Structure: relaxed

Structure (POSCAR):
```
BaIr
1.0
2.181 1.259 8.591
-2.181 1.259 8.591
0.000 -2.518 8.591
Ba Ir
2 2
Direct
0.081 0.081 0.081
0.919 0.919 0.919
0.333 0.333 0.333
0.667 0.667 0.667
```

Summary:
- Formation enthalpy at 0 K: -0.14 eV/atom
- Spin magnetization: 0.8 μB/cell
- E_tot: -24.50 eV/cell

Compound: Ba2Ir
Source: the Alexandria database
Functional: GGA-PBEsol
Structure: relaxed

Structure (POSCAR):
```
Ba2Ir
1.0
0.000 3.697 3.697
3.697 0.000 3.697
3.697 3.697 0.000
Ba Ir
2 1
Direct
0.250 0.250 0.250
0.750 0.750 0.750
0.000 0.000 0.000
```

Summary:
- Formation enthalpy at 0 K: -0.04 eV/atom
- Spin magnetization: 0.0 μB/cell
- E_tot: -14.23 eV/cell

Compound: BaIr
Source: the Alexandria database
Functional: GGA-PBEsol
Structure: relaxed

Structure (POSCAR):
```
BaIr
1.0
5.793 -2.057 0.000
5.793 2.057 0.000
-1.097 0.000 7.710
Ba Ir
3 3
Direct
0.000 0.000 0.000
0.053 0.053 0.576
0.775 0.775 0.301
0.265 0.265 0.966
0.335 0.335 0.655
0.759 0.759 0.777
```

Summary:
- Formation enthalpy at 0 K: 0.19 eV/atom
- Spin magnetization: 0.0 μB/cell
- E_tot: -34.77 eV/cell

Compound: BaIr
Source: the Alexandria database
Functional: GGA-PBEsol
Structure: relaxed

Structure (POSCAR):
```
BaIr
1.0
3.419 0.000 0.000
-1.709 2.961 0.000
0.000 0.000 4.830
Ba Ir
1 1
Direct
0.000 0.000 0.000
0.667 0.333 0.500
```

Summary:
- Formation enthalpy at 0 K: 0.84 eV/atom
- Spin magnetization: 0.0 μB/cell
- E_tot: -10.30 eV/cell

Compound: Ba3Ir
Source: the Alexandria database
Functional: GGA-PBEsol
Structure: relaxed

Structure (POSCAR):
```
Ba3Ir
1.0
-2.052 5.888 3.680
2.052 -5.888 3.680
2.052 5.888 -3.680
Ba Ir
3 1
Direct
0.000 0.000 0.000
0.368 0.534 0.834
0.699 0.534 0.166
0.699 0.199 0.500
```

Summary:
- Formation enthalpy at 0 K: 0.01 eV/atom
- Spin magnetization: 0.0 μB/cell
- E_tot: -16.23 eV/cell